Entry 1:
# K2NaLiTe

K2NaLiTe after structural relaxation (PBE-GGA, the Alexandria database).

Its size of the total moment is 0.0 μB/cell. The value obtained for the formation energy (no corrections) is -483 meV/atom.

It has space group P4/mmm (No. 123), with a = 6.880 Å, b = 6.880 Å, c = 5.232 Å, α = 90.00°, β = 90.00° and γ = 90.00°. Symmetry generates all atoms from K at (0.000, 0.500, 0.000), Na at (0.000, 0.000, 0.500), Li at (0.500, 0.500, 0.500) and Te at (0.500, 0.500, 0.000).

---

Entry 2:
# K2Na2LiTl5

K2Na2LiTl5 after structural relaxation (PBE-GGA, the Alexandria database).

Its size of the total moment is 0.0 μB/cell. Its energy of formation is -0.077 eV/atom.

It has space group P4/mbm (No. 127), with a = 12.515 Å, b = 12.515 Å, c = 3.989 Å, α = 90.00°, β = 90.00° and γ = 90.00°. Symmetry generates all atoms from K at (0.176, 0.324, 0.000), Na at (0.136, 0.636, 0.000), Li at (0.000, 0.000, 0.000), Tl at (0.000, 0.500, 0.500) and Tl at (0.037, 0.823, 0.500).

---

Entry 3:
# KNaLiV2

KNaLiV2 after structural relaxation (PBE-GGA, the Alexandria database).

Its size of the total moment is 9.1 μB/cell. Its energy of formation is 1.845 eV/atom.

It has space group P4/mmm (No. 123), with a = 5.616 Å, b = 5.616 Å, c = 5.676 Å, α = 90.00°, β = 90.00° and γ = 90.00°. Symmetry generates all atoms from K at (0.000, 0.000, 0.000), Na at (0.000, 0.000, 0.500), Li at (0.500, 0.500, 0.500) and V at (0.000, 0.500, 0.000).

---

Entry 4:
# KNaLi2Zn

KNaLi2Zn after structural relaxation (PBE-GGA, the Alexandria database).

Its size of the total moment is 0.0 μB/cell. Its energy of formation is 0.114 eV/atom.

It has space group P4/mmm (No. 123), with a = 5.303 Å, b = 5.303 Å, c = 5.775 Å, α = 90.00°, β = 90.00° and γ = 90.00°. Symmetry generates all atoms from K at (0.000, 0.000, 0.000), Na at (0.500, 0.500, 0.000), Li at (0.000, 0.500, 0.500) and Zn at (0.500, 0.500, 0.500).

---

Repeat the third record exactly.
# KNaLiV2

KNaLiV2 after structural relaxation (PBE-GGA, the Alexandria database).

Its size of the total moment is 9.1 μB/cell. Its energy of formation is 1.845 eV/atom.

It has space group P4/mmm (No. 123), with a = 5.616 Å, b = 5.616 Å, c = 5.676 Å, α = 90.00°, β = 90.00° and γ = 90.00°. Symmetry generates all atoms from K at (0.000, 0.000, 0.000), Na at (0.000, 0.000, 0.500), Li at (0.500, 0.500, 0.500) and V at (0.000, 0.500, 0.000).

---

size of the total moment of number 2 (K2Na2LiTl5)?
0.0 μB/cell